A plane-wave DFT calculation with SCAN was carried out for a crystal of LiInHg relaxed with PBEsol.

```
LiInHg
1.0
4.8390 0.0000 0.0000
-2.4195 4.1907 0.0000
0.0000 0.0000 3.1683
Li In Hg
1 1 1
Direct
0.0000 0.0000 0.0000
0.3333 0.6667 0.5000
0.6667 0.3333 0.5000
```

Output
Formation enthalpy at 0 K ... -30 kJ/mol of atoms
Space-group type ... No. 187
M_tot ... 0.0 μB/f.u.
D(E_F) ... 0.68 states/eV/f.u.
Polymorph energy (0 for the lowest one) ... 0 meV per atom
Electronic total energy ... -104.9 eV for the cell shown